The following is a GGA+U calculation of CaV2HgO6 after structural relaxation, from Alexandria.

abc: 8.7974 8.7974 5.8320
angles: 101.16 101.16 97.98
Closest atoms and distances in Å follow each position.
Atoms (fractional coordinates):
Ca 0.2341 0.7659 0.7500  4 O 2.25-2.26
Ca 0.7659 0.2341 0.2500  4 O 2.25-2.26
V 0.2236 0.3762 0.3446  4 O 1.68-1.81
V 0.3762 0.2236 0.8446  4 O 1.68-1.81
V 0.6238 0.7764 0.1554  4 O 1.68-1.81
V 0.7764 0.6238 0.6554  4 O 1.68-1.81
Hg 0.0778 0.9222 0.2500  6 O 3.27-3.58, 2 Hg 3.57, 2 Ca 3.58
Hg 0.9222 0.0778 0.7500  6 O 3.27-3.58, 2 Hg 3.57, 2 Ca 3.58
O 0.0283 0.3057 0.2901  1 V 1.69
O 0.2575 0.5724 0.4508  1 V 1.68
O 0.2886 0.3282 0.0668  2 V 1.80-1.81
O 0.3057 0.0283 0.7901  1 V 1.69
O 0.3282 0.2886 0.5668  2 V 1.80-1.81
O 0.4276 0.7425 0.0492  1 V 1.68
O 0.5724 0.2575 0.9508  1 V 1.68
O 0.6718 0.7114 0.4332  2 V 1.80-1.81
O 0.6943 0.9717 0.2099  1 V 1.69
O 0.7114 0.6718 0.9332  2 V 1.80-1.81
O 0.7425 0.4276 0.5492  1 V 1.68
O 0.9717 0.6943 0.7099  1 V 1.69

Results
The calculation puts the total energy at -6.630 eV/atom.